(1)
## IrPd (PBE)

Data for a relaxed IrPd crystal.

Summary:
energy of formation	0.801	eV/atom

```
data_IrPd
_chemical_formula_sum 'Ir4 Pd4'
_cell_length_a 5.069
_cell_length_b 5.069
_cell_length_c 5.252
_cell_angle_alpha 90.00
_cell_angle_beta 90.00
_cell_angle_gamma 90.00
_symmetry_space_group_name_H-M 'P 42/m n m'
_symmetry_Int_Tables_number 136
_symmetry_space_group_name_Hall '-P 4n 2n'
loop_
_atom_site_label
_atom_site_type_symbol
_atom_site_fract_x
_atom_site_fract_y
_atom_site_fract_z
Ir1 Ir 0.177 0.177 0.000
Pd1 Pd 0.181 0.181 0.500
```

(2)
## CaGaNiGe2 (PBE)

Data for a relaxed CaGaNiGe2 crystal.

Summary:
energy of formation	-0.395	eV/atom

```
data_CaGaNiGe2
_chemical_formula_sum 'Ca2 Ga2 Ni2 Ge4'
_cell_length_a 4.134
_cell_length_b 4.134
_cell_length_c 10.677
_cell_angle_alpha 90.00
_cell_angle_beta 90.00
_cell_angle_gamma 90.00
_symmetry_space_group_name_H-M 'I -4 m 2'
_symmetry_Int_Tables_number 119
_symmetry_space_group_name_Hall 'I -4 -2'
loop_
_atom_site_label
_atom_site_type_symbol
_atom_site_fract_x
_atom_site_fract_y
_atom_site_fract_z
Ca1 Ca 0.000 0.000 0.000
Ga1 Ga 0.000 0.500 0.250
Ni1 Ni 0.000 0.500 0.750
Ge1 Ge 0.000 0.000 0.381
```

(3)
## AlB3W (PBE)

Data for a relaxed AlB3W crystal.

Summary:
energy of formation	1.319	eV/atom

```
data_AlB3W
_chemical_formula_sum 'Al1 B3 W1'
_cell_length_a 4.201
_cell_length_b 4.201
_cell_length_c 4.201
_cell_angle_alpha 90.00
_cell_angle_beta 90.00
_cell_angle_gamma 90.00
_symmetry_space_group_name_H-M 'P m -3 m'
_symmetry_Int_Tables_number 221
_symmetry_space_group_name_Hall '-P 4 2 3'
loop_
_atom_site_label
_atom_site_type_symbol
_atom_site_fract_x
_atom_site_fract_y
_atom_site_fract_z
Al1 Al 0.000 0.000 0.000
B1 B 0.000 0.500 0.500
W1 W 0.500 0.500 0.500
```

(4)
## TbTeS3 (PBE)

Data for a relaxed TbTeS3 crystal.

Summary:
E_form (uncorrected)	-0.89	eV/atom

```
data_TbTeS3
_chemical_formula_sum 'Tb4 Te4 S12'
_cell_length_a 16.296
_cell_length_b 3.960
_cell_length_c 7.520
_cell_angle_alpha 90.00
_cell_angle_beta 92.76
_cell_angle_gamma 90.00
_symmetry_space_group_name_H-M 'C 1 2/m 1'
_symmetry_Int_Tables_number 12
loop_
_symmetry_equiv_pos_as_xyz
'x,y,z'
'-x,-y,-z'
'-x,y,-z'
'x,-y,z'
'x+1/2,y+1/2,z'
'-x+1/2,-y+1/2,-z'
'-x+1/2,y+1/2,-z'
'x+1/2,-y+1/2,z'
loop_
_atom_site_label
_atom_site_type_symbol
_atom_site_fract_x
_atom_site_fract_y
_atom_site_fract_z
Tb1 Tb 0.218 0.000 0.230
Te1 Te 0.049 0.500 0.678
S1 S 0.036 0.000 0.214
S2 S 0.160 0.500 0.020
S3 S 0.175 0.000 0.594
```

no.,ρ (g/cm3),V (Å³/f.u.)
1,14.70,33.7
2,5.71,91.2
3,5.45,74.1
4,5.24,121.2